Compound: Rb4GaAu5
Source: Alexandria
Functional: PBE
Structure: optimized geometry

a b c (Å): 8.079 8.079 8.079
angles (deg): 100.79 100.79 128.73
Fractional positions:
Rb  0.080  0.293  0.373
Rb  0.293  0.920  0.213
Rb  0.707  0.080  0.787
Rb  0.920  0.707  0.627
Ga  0.379  0.379  0.000
Au  0.263  0.573  0.843
Au  0.420  0.263  0.690
Au  0.573  0.730  0.310
Au  0.730  0.420  0.157
Au  0.757  0.757  0.000

Calculated values
DFT formation energy = -203 meV/atom
density = 6.25 g/cm3
energy = -25.31 eV per formula unit

=====

Compound: Er3HfTl4Se8
Source: Alexandria
Functional: PBE
Structure: optimized geometry

a b c (Å): 9.297 9.297 9.297
angles (deg): 51.59 51.59 51.59
Fractional positions:
Er  0.000  0.500  0.500
Er  0.500  0.000  0.500
Er  0.500  0.500  0.000
Hf  0.000  0.000  0.000
Tl  0.000  0.000  0.500
Tl  0.000  0.500  0.000
Tl  0.500  0.000  0.000
Tl  0.500  0.500  0.500
Se  0.224  0.224  0.747
Se  0.224  0.747  0.224
Se  0.253  0.776  0.776
Se  0.266  0.266  0.266
Se  0.734  0.734  0.734
Se  0.747  0.224  0.224
Se  0.776  0.253  0.776
Se  0.776  0.776  0.253

Calculated values
E_form (uncorrected) = -1.2455 eV/atom
density = 7.76 g/cm3
energy = -80.91 eV per formula unit